1.
First-principles (GGA-PBE) data for a geometry-optimized Dy5Tl3Bi12 structure, as listed in the Alexandria database.

Lattice parameters (Å, degrees): 16.214 16.214 16.214 109.47 109.47 109.47
Element x y z (fractional)
Dy: 0.000 0.000 0.000
Dy: 0.000 0.000 0.500
Dy: 0.000 0.500 0.000
Dy: 0.000 0.500 0.500
Dy: 0.125 0.750 0.875
Dy: 0.125 0.875 0.250
Dy: 0.250 0.125 0.875
Dy: 0.250 0.625 0.375
Dy: 0.375 0.250 0.625
Dy: 0.375 0.625 0.750
Dy: 0.500 0.000 0.000
Dy: 0.500 0.000 0.500
Dy: 0.500 0.500 0.000
Dy: 0.500 0.500 0.500
Dy: 0.625 0.375 0.250
Dy: 0.625 0.750 0.375
Dy: 0.750 0.375 0.625
Dy: 0.750 0.875 0.125
Dy: 0.875 0.125 0.750
Dy: 0.875 0.250 0.125
Tl: 0.125 0.250 0.375
Tl: 0.125 0.375 0.750
Tl: 0.250 0.375 0.125
Tl: 0.250 0.875 0.625
Tl: 0.375 0.125 0.250
Tl: 0.375 0.750 0.125
Tl: 0.625 0.250 0.875
Tl: 0.625 0.875 0.750
Tl: 0.750 0.125 0.375
Tl: 0.750 0.625 0.875
Tl: 0.875 0.625 0.250
Tl: 0.875 0.750 0.625
Bi: 0.044 0.222 0.092
Bi: 0.044 0.322 0.952
Bi: 0.048 0.592 0.369
Bi: 0.048 0.956 0.678
Bi: 0.092 0.044 0.222
Bi: 0.092 0.548 0.869
Bi: 0.131 0.722 0.678
Bi: 0.131 0.908 0.452
Bi: 0.178 0.222 0.631
Bi: 0.178 0.456 0.548
Bi: 0.222 0.092 0.044
Bi: 0.222 0.631 0.178
Bi: 0.278 0.322 0.869
Bi: 0.278 0.456 0.408
Bi: 0.322 0.869 0.278
Bi: 0.322 0.952 0.044
Bi: 0.369 0.048 0.592
Bi: 0.369 0.822 0.778
Bi: 0.408 0.278 0.456
Bi: 0.408 0.631 0.952
Bi: 0.452 0.131 0.908
Bi: 0.452 0.822 0.544
Bi: 0.456 0.408 0.278
Bi: 0.456 0.548 0.178
Bi: 0.544 0.452 0.822
Bi: 0.544 0.592 0.722
Bi: 0.548 0.178 0.456
Bi: 0.548 0.869 0.092
Bi: 0.592 0.369 0.048
Bi: 0.592 0.722 0.544
Bi: 0.631 0.178 0.222
Bi: 0.631 0.952 0.408
Bi: 0.678 0.048 0.956
Bi: 0.678 0.131 0.722
Bi: 0.722 0.544 0.592
Bi: 0.722 0.678 0.131
Bi: 0.778 0.369 0.822
Bi: 0.778 0.908 0.956
Bi: 0.822 0.544 0.452
Bi: 0.822 0.778 0.369
Bi: 0.869 0.092 0.548
Bi: 0.869 0.278 0.322
Bi: 0.908 0.452 0.131
Bi: 0.908 0.956 0.778
Bi: 0.952 0.044 0.322
Bi: 0.952 0.408 0.631
Bi: 0.956 0.678 0.048
Bi: 0.956 0.778 0.908

Properties
- Density of states at the Fermi level: 0.7970 states/eV/atom
- Space group: Ia-3d (230)
- Formation enthalpy at 0 K: 0.071 eV/atom
- Raw total energy: -3.763 eV per atom

=====

2.
First-principles (GGA-PBE) data for a geometry-optimized Dy4TlBi structure, as listed in the Alexandria database.

Lattice parameters (Å, degrees): 7.913 7.913 6.670 99.46 99.46 113.77
Element x y z (fractional)
Dy: 0.099 0.713 0.943
Dy: 0.208 0.398 0.591
Dy: 0.287 0.901 0.557
Dy: 0.398 0.208 0.091
Dy: 0.602 0.792 0.909
Dy: 0.713 0.099 0.443
Dy: 0.792 0.602 0.409
Dy: 0.901 0.287 0.057
Tl: 0.007 0.993 0.250
Tl: 0.993 0.007 0.750
Bi: 0.388 0.612 0.250
Bi: 0.612 0.388 0.750

Properties
- Density of states at the Fermi level: 1.2716 states/eV/atom
- Space group: C2/c (15)
- Formation enthalpy at 0 K: -0.342 eV/atom
- Raw total energy: -4.451 eV per atom

=====

3.
First-principles (GGA-PBE) data for a geometry-optimized Dy4TlBi3 structure, as listed in the Alexandria database.

Lattice parameters (Å, degrees): 6.310 6.310 6.310 90.00 90.00 90.00
Element x y z (fractional)
Dy: 0.000 0.000 0.000
Dy: 0.000 0.500 0.500
Dy: 0.500 0.000 0.500
Dy: 0.500 0.500 0.000
Tl: 0.500 0.500 0.500
Bi: 0.000 0.000 0.500
Bi: 0.000 0.500 0.000
Bi: 0.500 0.000 0.000

Properties
- Density of states at the Fermi level: 0.4359 states/eV/atom
- Space group: Pm-3m (221)
- Formation enthalpy at 0 K: -0.640 eV/atom
- Raw total energy: -4.692 eV per atom

=====

> Look up the formation enthalpy at 0 K of the second one.

-0.342 eV/atom

=====

> What is the density of states at the Fermi level in the second record?

1.2716 states/eV/atom

=====

> raw total energy of number 1 (Dy5Tl3Bi12)?

-3.763 eV per atom

=====

> What is the formula in the third record?

Dy4TlBi3